Computed, not measured: MnOsNF2 after structural relaxation at the GGA+U level of DFT.

```
data_MnOsNF2
_cell_length_a 3.755
_cell_length_b 3.755
_cell_length_c 4.723
_cell_angle_alpha 90.00
_cell_angle_beta 90.00
_cell_angle_gamma 90.00
_symmetry_space_group_name_H-M 'P 1'
_symmetry_Int_Tables_number 1
_symmetry_space_group_name_Hall 'P 1'
loop_
_atom_site_label
_atom_site_type_symbol
_atom_site_fract_x
_atom_site_fract_y
_atom_site_fract_z
Mn1 Mn 0.000 0.000 0.000
Os1 Os 0.500 0.500 0.500
N1 N 0.000 0.000 0.500
F1 F 0.000 0.500 0.000
F2 F 0.500 0.000 0.000
```

As for the polymorph energy (0 for the lowest one): 2.687 eV per formula unit. As for the crystal system: tetragonal. The density of states at the Fermi level comes out at 4.15 states/eV per cell.



Computed, not measured: MnOsNF2 after structural relaxation at the GGA+U level of DFT.

```
data_MnOsNF2
_cell_length_a 4.330
_cell_length_b 4.330
_cell_length_c 3.774
_cell_angle_alpha 90.00
_cell_angle_beta 90.00
_cell_angle_gamma 90.00
_symmetry_space_group_name_H-M 'P 1'
_symmetry_Int_Tables_number 1
_symmetry_space_group_name_Hall 'P 1'
loop_
_atom_site_label
_atom_site_type_symbol
_atom_site_fract_x
_atom_site_fract_y
_atom_site_fract_z
Mn1 Mn 0.000 0.000 0.000
Os1 Os 0.500 0.500 0.500
N1 N 0.500 0.500 0.000
F1 F 0.000 0.500 0.500
F2 F 0.500 0.000 0.500
```

As for the polymorph energy (0 for the lowest one): 0.000 eV per formula unit. As for the crystal system: tetragonal. The density of states at the Fermi level comes out at 1.96 states/eV per cell.



Computed, not measured: MnOsN2F after structural relaxation at the GGA+U level of DFT.

```
data_MnOsN2F
_cell_length_a 3.825
_cell_length_b 3.825
_cell_length_c 4.438
_cell_angle_alpha 90.00
_cell_angle_beta 90.00
_cell_angle_gamma 90.00
_symmetry_space_group_name_H-M 'P 1'
_symmetry_Int_Tables_number 1
_symmetry_space_group_name_Hall 'P 1'
loop_
_atom_site_label
_atom_site_type_symbol
_atom_site_fract_x
_atom_site_fract_y
_atom_site_fract_z
Mn1 Mn 0.000 0.000 0.000
Os1 Os 0.500 0.500 0.500
N1 N 0.000 0.500 0.500
N2 N 0.500 0.000 0.500
F1 F 0.500 0.500 0.000
```

As for the polymorph energy (0 for the lowest one): 0.000 eV per formula unit. As for the crystal system: tetragonal. The density of states at the Fermi level comes out at 3.34 states/eV per cell.



Computed, not measured: MnOsN2F after structural relaxation at the GGA+U level of DFT.

```
data_MnOsN2F
_cell_length_a 3.937
_cell_length_b 3.937
_cell_length_c 3.629
_cell_angle_alpha 90.00
_cell_angle_beta 90.00
_cell_angle_gamma 90.00
_symmetry_space_group_name_H-M 'P 1'
_symmetry_Int_Tables_number 1
_symmetry_space_group_name_Hall 'P 1'
loop_
_atom_site_label
_atom_site_type_symbol
_atom_site_fract_x
_atom_site_fract_y
_atom_site_fract_z
Mn1 Mn 0.000 0.000 0.000
Os1 Os 0.500 0.500 0.500
N1 N 0.000 0.500 0.000
N2 N 0.500 0.000 0.000
F1 F 0.000 0.000 0.500
```

As for the polymorph energy (0 for the lowest one): 4.779 eV per formula unit. As for the crystal system: tetragonal. The density of states at the Fermi level comes out at 5.10 states/eV per cell.



Computed, not measured: MnPN2F after structural relaxation at the GGA+U level of DFT.

```
data_MnPN2F
_cell_length_a 3.518
_cell_length_b 3.518
_cell_length_c 4.035
_cell_angle_alpha 90.00
_cell_angle_beta 90.00
_cell_angle_gamma 90.00
_symmetry_space_group_name_H-M 'P 1'
_symmetry_Int_Tables_number 1
_symmetry_space_group_name_Hall 'P 1'
loop_
_atom_site_label
_atom_site_type_symbol
_atom_site_fract_x
_atom_site_fract_y
_atom_site_fract_z
Mn1 Mn 0.000 0.000 0.000
P1 P 0.500 0.500 0.500
N1 N 0.000 0.500 0.500
N2 N 0.500 0.000 0.500
F1 F 0.500 0.500 0.000
```

As for the polymorph energy (0 for the lowest one): 0.000 eV per formula unit. As for the crystal system: tetragonal. The density of states at the Fermi level comes out at 0.45 states/eV per cell.



Computed, not measured: MnPNF2 after structural relaxation at the GGA+U level of DFT.

```
data_MnPNF2
_cell_length_a 3.824
_cell_length_b 3.824
_cell_length_c 4.450
_cell_angle_alpha 90.00
_cell_angle_beta 90.00
_cell_angle_gamma 90.00
_symmetry_space_group_name_H-M 'P 1'
_symmetry_Int_Tables_number 1
_symmetry_space_group_name_Hall 'P 1'
loop_
_atom_site_label
_atom_site_type_symbol
_atom_site_fract_x
_atom_site_fract_y
_atom_site_fract_z
Mn1 Mn 0.000 0.000 0.000
P1 P 0.500 0.500 0.500
N1 N 0.000 0.000 0.500
F1 F 0.000 0.500 0.000
F2 F 0.500 0.000 0.000
```

As for the polymorph energy (0 for the lowest one): 0.852 eV per formula unit. As for the crystal system: tetragonal. The density of states at the Fermi level comes out at 1.03 states/eV per cell.



Question: polymorph energy (0 for the lowest one) of number 2 (MnOsNF2)?
Answer: 0.000 eV per formula unit



Question: Which formula does entry 2 have?
Answer: MnOsNF2



Question: Which value of polymorph energy (0 for the lowest one) does entry 3 give?
Answer: 0.000 eV per formula unit



Question: polymorph energy (0 for the lowest one) of number 3 (MnOsN2F)?
Answer: 0.000 eV per formula unit